Material: BeV3I
Method: DFT, PBE-GGA
State: optimized geometry

Geometry as POSCAR:
```
BeV3I
1.0
4.8167 0.0000 0.0000
0.0000 4.8167 0.0000
0.0000 0.0000 4.8167
Be V I
1 3 1
Direct
0.0000 0.0000 0.0000 Be
0.0000 0.5000 0.5000 V
0.5000 0.0000 0.5000 V
0.5000 0.5000 0.0000 V
0.5000 0.5000 0.5000 I
```

Output
energy above the lowest structure with this stoichiometry	0.971	eV/atom
DOS(E_F)	7.76	states/eV per cell
theoretical density	4291	kg/m³
E_form (uncorrected)	1.889	eV per atom

***

Material: BeVI6
Method: DFT, PBE-GGA
State: optimized geometry

Geometry as POSCAR:
```
BeVI6
1.0
3.7344 -6.3718 0.0000
3.7344 6.3718 0.0000
-0.1801 0.0000 6.4211
Be V I
1 1 6
Direct
0.0000 0.0000 0.0000 Be
0.0000 0.0000 0.5000 V
0.0018 0.7074 0.7496 I
0.2898 0.2898 0.7643 I
0.2926 0.9982 0.2504 I
0.7074 0.0018 0.7496 I
0.7102 0.7102 0.2357 I
0.9982 0.2926 0.2504 I
```

Output
DOS(E_F)	6.61	states/eV per cell
theoretical density	4464	kg/m³
E_form (uncorrected)	-0.300	eV per atom

***

Material: BeVI2
Method: DFT, PBE-GGA
State: optimized geometry

Geometry as POSCAR:
```
BeVI2
1.0
0.0000 3.4056 3.4056
3.4056 0.0000 3.4056
3.4056 3.4056 0.0000
Be V I
1 1 2
Direct
0.0000 0.0000 0.0000 Be
0.5000 0.5000 0.5000 V
0.2500 0.2500 0.2500 I
0.7500 0.7500 0.7500 I
```

Output
energy above the lowest structure with this stoichiometry	0.288	eV/atom
DOS(E_F)	2.23	states/eV per cell
theoretical density	6596	kg/m³
E_form (uncorrected)	0.909	eV per atom

***

Material: Y2BeVI
Method: DFT, PBE-GGA
State: optimized geometry

Geometry as POSCAR:
```
Y2BeVI
1.0
5.2836 0.0000 0.0000
0.0000 5.2836 0.0000
0.0000 0.0000 4.4832
Y Be V I
2 1 1 1
Direct
0.0000 0.5000 0.0000 Y
0.5000 0.0000 0.0000 Y
0.0000 0.0000 0.0000 Be
0.0000 0.0000 0.5000 V
0.5000 0.5000 0.5000 I
```

Output
DOS(E_F)	5.22	states/eV per cell
theoretical density	4838	kg/m³
E_form (uncorrected)	0.253	eV per atom

***

Material: BeWI2
Method: DFT, PBE-GGA
State: optimized geometry

Geometry as POSCAR:
```
BeWI2
1.0
-2.9936 2.9936 5.5382
2.9936 -2.9936 5.5382
2.9936 2.9936 -5.5382
Be W I
2 2 4
Direct
0.0000 0.0000 0.0000 Be
0.7500 0.2500 0.5000 Be
0.2500 0.7500 0.5000 W
0.5000 0.5000 0.0000 W
0.0933 0.6250 0.9683 I
0.3750 0.3433 0.4683 I
0.6567 0.1250 0.0317 I
0.8750 0.9067 0.5317 I
```

Output
energy above the lowest structure with this stoichiometry	0.000	eV/atom
DOS(E_F)	1.97	states/eV per cell
theoretical density	7472	kg/m³
E_form (uncorrected)	1.328	eV per atom

***

Material: BeW3I
Method: DFT, PBE-GGA
State: optimized geometry

Geometry as POSCAR:
```
BeW3I
1.0
4.3918 0.0000 0.0000
0.0000 4.3918 0.0000
0.0000 0.0000 4.3918
Be W I
1 3 1
Direct
0.0000 0.0000 0.0000 Be
0.0000 0.0000 0.5000 W
0.0000 0.5000 0.0000 W
0.5000 0.0000 0.0000 W
0.5000 0.5000 0.5000 I
```

Output
energy above the lowest structure with this stoichiometry	0.000	eV/atom
DOS(E_F)	5.69	states/eV per cell
theoretical density	13476	kg/m³
E_form (uncorrected)	1.569	eV per atom

***

Total moment values (in μB per formula unit) by entry order: 5.89; 0.98; 0.00; 2.80; 0.00; 0.00.